# 1
Material: TbPrNi4
Method: DFT, GGA-PBE
State: optimized geometry

Output
Energy above the most stable polymorph in this dataset   0.00 eV/f.u.
Symmetry   F-43m (216)
Energy of formation   -0.36 eV per atom

Unit cell a=5.1342 b=5.1342 c=5.1342 alpha=60.00 beta=60.00 gamma=60.00
Element x y z (fractional)
Ni (0.3757, 0.3757, 0.3757)
Ni (0.8729, 0.3757, 0.3757)
Ni (0.3757, 0.8729, 0.3757)
Ni (0.3757, 0.3757, 0.8729)
Pr (0.0000, 0.0000, 0.0000)
Tb (0.7500, 0.7500, 0.7500)


# 2
Material: SmRe2
Method: DFT, GGA-PBE
State: optimized geometry

Output
Symmetry   Fd-3m (227)
Energy of formation   4.29 eV per atom

Unit cell a=9.0909 b=9.0909 c=9.0909 alpha=60.00 beta=60.00 gamma=60.00
Site moments in Bohr magnetons follow the coordinates.
Element x y z (fractional)
Re (0.8750, 0.3750, 0.3750)  2.91
Re (0.3750, 0.8750, 0.3750)  3.10
Re (0.3750, 0.3750, 0.3750)  3.11
Re (0.3750, 0.3750, 0.8750)  3.15
Sm (0.2500, 0.2500, 0.2500)  -0.17
Sm (0.5000, 0.5000, 0.5000)  -0.17


# 3
Material: NaHfPdS3
Method: DFT, GGA-PBE
State: optimized geometry

Output
Symmetry   Cmcm (63)

Unit cell a=6.9867 b=6.9867 c=9.8055 alpha=90.00 beta=90.00 gamma=149.97
Element x y z (fractional)
Hf (0.5000, 0.5000, 0.0000)
Hf (0.5000, 0.5000, 0.5000)
Na (0.2552, 0.7448, 0.2500)
Na (0.7448, 0.2552, 0.7500)
Pd (0.9682, 0.0318, 0.2500)
Pd (0.0318, 0.9682, 0.7500)
S (0.8676, 0.1324, 0.0451)
S (0.5816, 0.4184, 0.2500)
S (0.8676, 0.1324, 0.4549)
S (0.1324, 0.8676, 0.5451)
S (0.4184, 0.5816, 0.7500)
S (0.1324, 0.8676, 0.9549)


# 4
Material: Nd3Mg3AgHg2
Method: DFT, GGA-PBE
State: optimized geometry

Output
Symmetry   P-62m (189)

Unit cell a=7.9146 b=7.9146 c=4.3371 alpha=90.00 beta=90.00 gamma=120.00
Element x y z (fractional)
Ag (0.0000, 0.0000, 0.0000)
Hg (0.6667, 0.3333, 0.5000)
Hg (0.3333, 0.6667, 0.5000)
Mg (0.2393, 0.0000, 0.5000)
Mg (0.0000, 0.2393, 0.5000)
Mg (0.7607, 0.7607, 0.5000)
Nd (0.5901, 0.0000, 0.0000)
Nd (0.4099, 0.4099, 0.0000)
Nd (0.0000, 0.5901, 0.0000)


# 5
Material: NaSmHgTe3
Method: DFT, GGA-PBE
State: optimized geometry

Output
Energy above the most stable polymorph in this dataset   0.33 eV/f.u.
Symmetry   Pnma (62)

Unit cell a=9.0381 b=4.5185 c=18.6346 alpha=90.00 beta=90.00 gamma=90.00
Element x y z (fractional)
Hg (0.4746, 0.2500, 0.1688)
Hg (0.9746, 0.2500, 0.3312)
Hg (0.0254, 0.7500, 0.6688)
Hg (0.5254, 0.7500, 0.8312)
Na (0.0973, 0.7500, 0.1958)
Na (0.5973, 0.7500, 0.3042)
Na (0.4027, 0.2500, 0.6958)
Na (0.9027, 0.2500, 0.8042)
Sm (0.7819, 0.2500, 0.0385)
Sm (0.2819, 0.2500, 0.4615)
Sm (0.7181, 0.7500, 0.5385)
Sm (0.2181, 0.7500, 0.9615)
Te (0.1263, 0.2500, 0.0670)
Te (0.5104, 0.7500, 0.0729)
Te (0.7951, 0.2500, 0.2094)
Te (0.2951, 0.2500, 0.2906)
Te (0.0104, 0.7500, 0.4271)
Te (0.6263, 0.2500, 0.4330)
Te (0.3737, 0.7500, 0.5670)
Te (0.9896, 0.2500, 0.5729)
Te (0.7049, 0.7500, 0.7094)
Te (0.2049, 0.7500, 0.7906)
Te (0.4896, 0.2500, 0.9271)
Te (0.8737, 0.7500, 0.9330)


# 6
Material: LaDyLu
Method: DFT, GGA-PBE
State: optimized geometry

Output
Energy above the most stable polymorph in this dataset   0.00 eV/f.u.
Symmetry   F-43m (216)
Energy of formation   0.69 eV per atom

Unit cell a=5.4640 b=5.4640 c=5.4640 alpha=60.00 beta=60.00 gamma=60.00
Element x y z (fractional)
Dy (0.2500, 0.2500, 0.2500)
La (0.7500, 0.7500, 0.7500)
Lu (0.0000, 0.0000, 0.0000)


# 7
Material: TbSbN2O
Method: DFT, GGA-PBE
State: optimized geometry

Output
Symmetry   P1 (1)

Unit cell a=5.6379 b=5.7240 c=9.6357 alpha=73.45 beta=73.94 gamma=60.72
Element x y z (fractional)
N (0.2171, 0.6507, 0.1302)
N (0.6282, 0.0137, 0.1443)
N (0.8771, 0.4622, 0.3626)
N (0.4772, 0.2844, 0.3771)
N (0.5751, 0.7508, 0.5909)
N (0.1545, 0.5180, 0.6455)
N (0.7248, 0.1464, 0.6598)
N (0.9156, 0.7340, 0.9126)
O (0.0645, 0.2083, 0.1032)
O (0.2645, 0.8933, 0.3827)
O (0.3059, 0.9946, 0.8424)
O (0.7324, 0.3893, 0.8955)
Sb (0.2581, 0.2678, 0.2445)
Sb (0.5206, 0.4835, 0.5094)
Sb (0.7658, 0.7569, 0.7381)
Sb (0.9769, 0.9874, 0.9953)
Tb (0.6481, 0.5977, 0.1373)
Tb (0.8793, 0.8689, 0.3600)
Tb (0.1617, 0.1370, 0.5959)
Tb (0.3526, 0.3554, 0.8726)


# 8
Material: HoTmCu
Method: DFT, GGA-PBE
State: optimized geometry

Output
Energy above the most stable polymorph in this dataset   0.00 eV/f.u.
Symmetry   F-43m (216)
Energy of formation   0.04 eV per atom

Unit cell a=4.7670 b=4.7670 c=4.7670 alpha=60.00 beta=60.00 gamma=60.00
Element x y z (fractional)
Cu (0.0000, 0.0000, 0.0000)
Ho (0.2500, 0.2500, 0.2500)
Tm (0.7500, 0.7500, 0.7500)


| no. | total moment (μB per cell) | total energy (eV per atom) |
| --- | --- | --- |
| 1 | 0.001 | -5.64 |
| 2 | 14.001 | -5.56 |
| 3 | 0.148 | -5.90 |
| 4 | 0.048 | -2.84 |
| 5 | 0.001 | -3.45 |
| 6 | 0.014 | -4.00 |
| 7 | 0.001 | -7.00 |
| 8 | 0.000 | -4.22 |